Record 1
Entry from the Alexandria database: Ba4PtICl2 after structural relaxation (GGA-PBE).

The value obtained for the formation energy without anion corrections is -1.43 eV/atom. As for the final energy: -30.43 eV/cell.

The structure belongs to space group P2/m (No. 10); the cell edges are 8.094, 4.582 and 8.717 Å and the angles 90.00°, 107.26° and 90.00°. The distinct sites, in fractional coordinates, are Ba at (0.231, 0.000, 0.214), Ba at (0.251, 0.500, 0.785), Pt at (0.000, 0.500, 0.000), I at (0.000, 0.000, 0.500), Cl at (0.500, 0.000, 0.000) and Cl at (0.500, 0.500, 0.500).



Record 2
Entry from the Alexandria database: Ba6PtI3Cl2 after structural relaxation (GGA-PBE).

The value obtained for the formation energy without anion corrections is -1.41 eV/atom. As for the final energy: -85.64 eV/cell.

The structure belongs to space group C2/m (No. 12); the cell edges are 8.207, 14.196 and 8.844 Å and the angles 90.00°, 107.86° and 90.00°. The distinct sites, in fractional coordinates, are Ba at (0.228, 0.158, 0.211), Ba at (0.245, 0.000, 0.786), Pt at (0.000, 0.000, 0.000), I at (0.000, 0.173, 0.500), I at (0.000, 0.500, 0.500) and Cl at (0.000, 0.333, 0.000).



Record 3
Entry from the Alexandria database: Rb2BaI2Cl2 after structural relaxation (GGA-PBE).

The value obtained for the formation energy without anion corrections is -1.86 eV/atom. As for the final energy: -47.30 eV/cell.

The structure belongs to space group I4/mmm (No. 139); the cell edges are 5.969, 5.969 and 19.460 Å and the angles 90.00°, 90.00° and 90.00°. The distinct sites, in fractional coordinates, are Rb at (0.000, 0.000, 0.138), Ba at (0.000, 0.000, 0.500), I at (0.000, 0.000, 0.324) and Cl at (0.000, 0.500, 0.000).